Entry 1:
Density functional theory data (PBE) for a relaxed CaCu3P3O13 crystal.

Uncorrected formation energy ... -1.62 eV per atom
Fermi-level density of states ... 0.496 states/eV per atom
Total moment ... 0.81 μB per formula unit
Uncorrected energy ... -6.37 eV per atom

Cell lengths 6.1823, 7.6051, 10.2398 Å; angles 99.67, 90.00, 90.00 degrees
Last column: nearest neighbours and their distance in Å.
Element x y z (fractional)
Ca1 0.2500 0.6561 0.1937  5 O 2.24-2.45
Ca2 0.7500 0.3439 0.8063  5 O 2.24-2.45
Cu1 0.7500 0.2961 0.2391  4 O 1.85-1.93
Cu2 0.2500 0.7039 0.7609  4 O 1.85-1.93
Cu3 0.7500 0.7626 0.4215  4 O 1.91-1.92
Cu4 0.5000 0.0000 0.0000  6 O 1.93-2.16
Cu5 0.2500 0.2374 0.5785  4 O 1.91-1.92
Cu6 0.0000 0.0000 0.0000  6 O 1.93-2.16
P1 0.7500 0.2229 0.4945  4 O 1.51-1.57
P2 0.2500 0.7771 0.5055  4 O 1.51-1.57
P3 0.7500 0.7679 0.7405  4 O 1.54-1.56
P4 0.2500 0.2321 0.2595  4 O 1.54-1.56
P5 0.2500 0.3077 0.8972  4 O 1.50-1.57
P6 0.7500 0.6923 0.1028  4 O 1.50-1.57
O1 0.2500 0.3650 0.7570  1 P 1.57
O2 0.4406 0.7578 0.4026  1 P 1.57
O3 0.7500 0.8403 0.6088  1 P 1.54
O4 0.4590 0.1954 0.9038  1 P 1.56
O5 0.2500 0.6105 0.5771  1 P 1.57
O6 0.2500 0.8807 0.9097  3 Cu 1.85-1.95
O7 0.7500 0.3895 0.4229  1 P 1.57
O8 0.9590 0.8046 0.0962  1 P 1.56
O9 0.7500 0.0574 0.3891  1 P 1.51
O10 0.2500 0.9426 0.6109  1 P 1.51
O11 0.9453 0.6469 0.7617  1 P 1.55
O12 0.7500 0.1193 0.0903  3 Cu 1.85-1.95
O13 0.4453 0.3531 0.2383  1 P 1.55
O14 0.2500 0.4785 0.9954  1 P 1.50
O15 0.2500 0.1597 0.3912  1 P 1.54
O16 0.5410 0.8046 0.0962  1 P 1.56
O17 0.0594 0.7578 0.4026  1 P 1.57
O18 0.5594 0.2422 0.5974  1 P 1.57
O19 0.5547 0.6469 0.7617  1 P 1.55
O20 0.7500 0.6350 0.2430  1 P 1.57
O21 0.2500 0.0659 0.1474  1 P 1.56
O22 0.7500 0.9341 0.8526  1 P 1.56
O23 0.0547 0.3531 0.2383  1 P 1.55
O24 0.0410 0.1954 0.9038  1 P 1.56
O25 0.9406 0.2422 0.5974  1 P 1.57
O26 0.7500 0.5215 0.0046  1 P 1.50



Entry 2:
Density functional theory data (PBE) for a relaxed CaPa2CuO8 crystal.

Uncorrected formation energy ... -2.35 eV per atom
Fermi-level density of states ... 0.263 states/eV per atom
Total moment ... 0.00 μB per formula unit
Uncorrected energy ... -7.75 eV per atom

Cell lengths 5.1456, 5.1456, 6.6296 Å; angles 90.00, 90.00, 120.00 degrees
Last column: nearest neighbours and their distance in Å.
Element x y z (fractional)
Ca1 0.0000 0.0000 0.5000  12 O 2.71-3.01
Pa1 0.6667 0.3333 0.1434  1 O 1.89
Pa2 0.3333 0.6667 0.8566  1 O 1.89
Cu1 0.0000 0.0000 0.0000  6 O 1.88
O1 0.8274 0.6549 0.8365  1 Cu 1.88
O2 0.3451 0.1726 0.8365  1 Cu 1.88
O3 0.8274 0.1726 0.8365  1 Cu 1.88
O4 0.1726 0.3451 0.1635  1 Cu 1.88
O5 0.6549 0.8274 0.1635  1 Cu 1.88
O6 0.1726 0.8274 0.1635  1 Cu 1.88
O7 0.6667 0.3333 0.4292  1 Pa 1.89
O8 0.3333 0.6667 0.5708  1 Pa 1.89